YTmMnRu | Alexandria via LeMat-Bulk | GGA-PBE | optimized geometry; electronic total energy = -7.4415 eV per atom; space-group type = F-43m; energy relative to the elements = -0.0962 eV/atom
1.0
0.000 3.453 3.453
3.453 0.000 3.453
3.453 3.453 0.000
Y Tm Mn Ru
1 1 1 1
direct
0.000 0.000 0.000
0.500 0.500 0.500
0.250 0.250 0.250
0.750 0.750 0.750

=====

TmZrMnRu | Alexandria via LeMat-Bulk | GGA-PBE | optimized geometry; electronic total energy = -8.0456 eV per atom; space-group type = F-43m; energy relative to the elements = -0.1793 eV/atom
1.0
0.000 3.318 3.318
3.318 0.000 3.318
3.318 3.318 0.000
Tm Zr Mn Ru
1 1 1 1
direct
0.000 0.000 0.000
0.500 0.500 0.500
0.250 0.250 0.250
0.750 0.750 0.750

=====

UMnRu | Alexandria via LeMat-Bulk | GGA-PBE | optimized geometry; electronic total energy = -9.9240 eV per atom; space-group type = I4mm; energy relative to the elements = -0.0128 eV/atom
1.0
-1.818 1.818 3.820
1.818 -1.818 3.820
1.818 1.818 -3.820
U Mn Ru
1 1 1
direct
0.000 0.000 0.000
0.287 0.287 0.000
0.680 0.680 0.000

=====

UMnRu | Alexandria via LeMat-Bulk | GGA-PBE | optimized geometry; electronic total energy = -9.5989 eV per atom; space-group type = Pmmn; energy relative to the elements = 0.3123 eV/atom
1.0
3.882 0.000 0.000
0.000 4.558 0.000
0.000 0.000 5.819
U Mn Ru
2 2 2
direct
0.250 0.250 0.112
0.750 0.750 0.888
0.250 0.750 0.210
0.750 0.250 0.790
0.250 0.250 0.525
0.750 0.750 0.475

=====

UMnRu | Alexandria via LeMat-Bulk | GGA-PBE | optimized geometry; electronic total energy = -9.8529 eV per atom; space-group type = P3m1; energy relative to the elements = 0.0583 eV/atom
1.0
4.379 0.000 0.000
-2.189 3.792 0.000
0.000 0.000 2.837
U Mn Ru
1 1 1
direct
0.000 0.000 0.000
0.667 0.333 0.204
0.333 0.667 0.695

=====

UMn2Ru | Alexandria via LeMat-Bulk | GGA-PBE | optimized geometry; electronic total energy = -9.2569 eV per atom; space-group type = R-3m; energy relative to the elements = 0.4688 eV/atom
1.0
1.400 0.808 8.765
-1.400 0.808 8.765
0.000 -1.616 8.765
U Mn Ru
1 2 1
direct
0.000 0.000 0.000
0.090 0.090 0.090
0.910 0.910 0.910
0.500 0.500 0.500

=====

Question: What is the electronic total energy in the second record?
Answer: -8.0456 eV per atom